# 1
The following is a DFT calculation (GGA-PBE) of a geometry-optimized SrSnO2 structure.

abc: 7.033 7.033 7.033
angles: 29.71 29.71 29.71
Fractional coordinates of all 4 atoms:
Sr (0.500, 0.500, 0.500)
Sn (0.000, 0.000, 0.000)
O (0.899, 0.899, 0.899)
O (0.101, 0.101, 0.101)

Computed properties:
* uncorrected formation energy: -1.757 eV per atom
* E_tot: -5.657 eV per atom
* M_tot: 0.00 μB per formula unit

***

# 2
The following is a DFT calculation (GGA-PBE) of a geometry-optimized LiGdAgIr structure.

abc: 4.761 4.761 4.761
angles: 60.00 60.00 60.00
Each line ends with the local moment (μB).
Fractional coordinates of all 4 atoms:
Gd (0.000, 0.000, 0.000)  -6.99
Ir (0.750, 0.750, 0.750)  0.04
Ag (0.250, 0.250, 0.250)  0.00
Li (0.500, 0.500, 0.500)  0.00

Computed properties:
* formation energy from the elements: -0.29 eV/atom
* E_tot: -7.215 eV per atom
* M_tot: 7.03 μB per formula unit

***

# 3
The following is a DFT calculation (GGA-PBE) of a geometry-optimized FeH4Ru2 structure.

abc: 3.102 3.102 5.565
angles: 73.82 73.82 90.00
Fractional coordinates of all 7 atoms:
Ru (0.649, 0.649, 0.701)
Ru (0.351, 0.351, 0.299)
Fe (0.000, 0.000, 0.000)
H (0.826, 0.826, 0.348)
H (0.174, 0.174, 0.652)
H (0.000, 0.500, 0.000)
H (0.500, 0.000, 0.000)

Computed properties:
* E_tot: -5.469 eV per atom
* M_tot: 0.00 μB per formula unit

***

Question: The highest E_tot belongs to which entry?
Answer: FeH4Ru2